VASP calculation (PBE) on crystalline Nd7Tl4Zn at its relaxed geometry.

abc: 9.074 9.074 8.873
angles: 116.36 116.36 35.65
Fractional coordinates of all 12 atoms:
1 Nd 0.000 0.000 0.000
2 Nd 0.214 0.214 0.611
3 Nd 0.342 0.342 0.074
4 Nd 0.428 0.428 0.614
5 Nd 0.572 0.572 0.386
6 Nd 0.658 0.658 0.926
7 Nd 0.786 0.786 0.389
8 Tl 0.053 0.053 0.697
9 Tl 0.203 0.203 0.235
10 Tl 0.797 0.797 0.765
11 Tl 0.947 0.947 0.303
12 Zn 0.500 0.500 0.000

Calculated values
SG   C2/m
Uncorrected energy   -3.894 eV/atom

---

VASP calculation (PBE) on crystalline Nd6TlZn2 at its relaxed geometry.

abc: 8.899 8.899 8.899
angles: 110.84 110.03 107.56
Fractional coordinates of all 18 atoms:
1 Nd 0.034 0.816 0.217
2 Nd 0.243 0.535 0.292
3 Nd 0.243 0.951 0.708
4 Nd 0.272 0.314 0.586
5 Nd 0.272 0.686 0.958
6 Nd 0.401 0.184 0.217
7 Nd 0.599 0.816 0.783
8 Nd 0.728 0.314 0.042
9 Nd 0.728 0.686 0.414
10 Nd 0.757 0.049 0.292
11 Nd 0.757 0.465 0.708
12 Nd 0.966 0.184 0.783
13 Tl 0.000 0.500 0.500
14 Tl 0.500 0.000 0.500
15 Zn 0.000 0.131 0.131
16 Zn 0.000 0.869 0.869
17 Zn 0.378 0.378 0.000
18 Zn 0.622 0.622 0.000

Calculated values
SG   Immm
Uncorrected energy   -3.915 eV/atom

---

VASP calculation (PBE) on crystalline Nd12Tl3Zn at its relaxed geometry.

abc: 4.975 4.975 19.791
angles: 90.00 90.00 90.00
Fractional coordinates of all 16 atoms:
1 Nd 0.000 0.000 0.000
2 Nd 0.000 0.000 0.245
3 Nd 0.000 0.000 0.500
4 Nd 0.000 0.000 0.755
5 Nd 0.000 0.500 0.120
6 Nd 0.000 0.500 0.373
7 Nd 0.000 0.500 0.627
8 Nd 0.000 0.500 0.880
9 Nd 0.500 0.000 0.120
10 Nd 0.500 0.000 0.373
11 Nd 0.500 0.000 0.627
12 Nd 0.500 0.000 0.880
13 Tl 0.500 0.500 0.247
14 Tl 0.500 0.500 0.500
15 Tl 0.500 0.500 0.753
16 Zn 0.500 0.500 0.000

Calculated values
SG   P4/mmm
Uncorrected energy   -4.266 eV/atom

---

VASP calculation (PBE) on crystalline Nd8Tl5Zn at its relaxed geometry.

abc: 8.280 8.280 8.280
angles: 109.58 109.58 109.26
Fractional coordinates of all 14 atoms:
1 Nd 0.128 0.378 0.100
2 Nd 0.136 0.378 0.612
3 Nd 0.278 0.028 0.900
4 Nd 0.476 0.864 0.242
5 Nd 0.622 0.234 0.758
6 Nd 0.622 0.722 0.750
7 Nd 0.766 0.524 0.388
8 Nd 0.972 0.872 0.250
9 Tl 0.250 0.750 0.500
10 Tl 0.374 0.245 0.372
11 Tl 0.755 0.127 0.129
12 Tl 0.873 0.002 0.628
13 Tl 0.998 0.626 0.871
14 Zn 0.500 0.500 0.000

Calculated values
SG   I-4
Uncorrected energy   -3.914 eV/atom

---

Copy entry 2 word for word.
VASP calculation (PBE) on crystalline Nd6TlZn2 at its relaxed geometry.

abc: 8.899 8.899 8.899
angles: 110.84 110.03 107.56
Fractional coordinates of all 18 atoms:
1 Nd 0.034 0.816 0.217
2 Nd 0.243 0.535 0.292
3 Nd 0.243 0.951 0.708
4 Nd 0.272 0.314 0.586
5 Nd 0.272 0.686 0.958
6 Nd 0.401 0.184 0.217
7 Nd 0.599 0.816 0.783
8 Nd 0.728 0.314 0.042
9 Nd 0.728 0.686 0.414
10 Nd 0.757 0.049 0.292
11 Nd 0.757 0.465 0.708
12 Nd 0.966 0.184 0.783
13 Tl 0.000 0.500 0.500
14 Tl 0.500 0.000 0.500
15 Zn 0.000 0.131 0.131
16 Zn 0.000 0.869 0.869
17 Zn 0.378 0.378 0.000
18 Zn 0.622 0.622 0.000

Calculated values
SG   Immm
Uncorrected energy   -3.915 eV/atom

---

> What is the formula in the fourth record?

Nd8Tl5Zn